(1)
The following is a PBE calculation of crystalline NiGeW4N2 at its relaxed geometry, from OQMD via LeMat-Bulk.

Summary:
Total magnetic moment in μB/atom: 0.00
Uncorrected energy in eV per atom: -9.6295

Unit cell a=2.8353 b=2.8353 c=14.4707 alpha=90.00 beta=90.00 gamma=120.00
Space group P-6m2 (No. 187)
Inequivalent atoms, fractional coordinates:
Ni 0.0000 0.0000 0.0000
Ge 0.6667 0.3333 0.5000
W 0.0000 0.0000 0.3478
W 0.6667 0.3333 0.1468
N 0.3333 0.6667 0.2487

(2)
The following is a PBE calculation of crystalline Y4NiGeN2 at its relaxed geometry, from OQMD via LeMat-Bulk.

Summary:
Total magnetic moment in μB/atom: 0.01
Uncorrected energy in eV per atom: -7.5632

Unit cell a=3.5067 b=3.5067 c=14.0177 alpha=90.00 beta=90.00 gamma=120.00
Space group P-6m2 (No. 187)
Inequivalent atoms, fractional coordinates:
Y 0.0000 0.0000 0.1399
Y 0.6667 0.3333 0.3361
Ni 0.6667 0.3333 0.0000
Ge 0.0000 0.0000 0.5000
N 0.3333 0.6667 0.2456

(3)
The following is a PBE calculation of crystalline Zr4NiGeN2 at its relaxed geometry, from OQMD via LeMat-Bulk.

Summary:
Total magnetic moment in μB/atom: 0.00
Uncorrected energy in eV per atom: -8.6526

Unit cell a=3.2652 b=3.2652 c=13.4046 alpha=90.00 beta=90.00 gamma=120.00
Space group P-6m2 (No. 187)
Inequivalent atoms, fractional coordinates:
Zr 0.0000 0.0000 0.1446
Zr 0.3333 0.6667 0.3386
Ni 0.3333 0.6667 0.0000
Ge 0.0000 0.0000 0.5000
N 0.6667 0.3333 0.2418

(4)
The following is a PBE calculation of crystalline PaGeNO at its relaxed geometry, from OQMD via LeMat-Bulk.

Summary:
Polymorph energy (0 for the lowest one) in meV per atom: 0
Total magnetic moment in μB/atom: 0.00
Uncorrected energy in eV per atom: -7.8808

Unit cell a=4.5816 b=4.0283 c=6.6569 alpha=90.00 beta=90.00 gamma=90.00
Space group Pmc2_1 (No. 26)
Inequivalent atoms, fractional coordinates:
Pa 0.0000 0.2502 0.0000
Ge 0.5000 0.2336 0.3289
N 0.5000 0.1732 0.0094
O 0.0000 0.2537 0.6636

(5)
The following is a PBE calculation of crystalline PaGeNO at its relaxed geometry, from OQMD via LeMat-Bulk.

Summary:
Polymorph energy (0 for the lowest one) in meV per atom: 255
Total magnetic moment in μB/atom: 0.23
Uncorrected energy in eV per atom: -7.6256

Unit cell a=6.6005 b=7.0318 c=6.1278 alpha=90.00 beta=90.00 gamma=90.00
Space group Pca2_1 (No. 29)
Inequivalent atoms, fractional coordinates:
Pa 0.0576 0.1702 0.0000
Ge 0.1233 0.7146 0.0312
N 0.1142 0.1263 0.6295
O 0.0356 0.4714 0.0170

(6)
The following is a PBE calculation of crystalline PaGeNO at its relaxed geometry, from OQMD via LeMat-Bulk.

Summary:
Polymorph energy (0 for the lowest one) in meV per atom: 336
Total magnetic moment in μB/atom: 0.27
Uncorrected energy in eV per atom: -7.5444

Unit cell a=4.9568 b=4.9568 c=4.8187 alpha=90.00 beta=90.00 gamma=90.00
Space group P4/nmm (No. 129, origin choice 2)
Inequivalent atoms, fractional coordinates:
Pa 0.2500 0.7500 0.0000
Ge 0.2500 0.2500 0.4826
N 0.2500 0.2500 0.8732
O 0.2500 0.7500 0.5000

(7)
The following is a PBE calculation of crystalline PaGeNO at its relaxed geometry, from OQMD via LeMat-Bulk.

Summary:
Polymorph energy (0 for the lowest one) in meV per atom: 239
Total magnetic moment in μB/atom: 0.00
Uncorrected energy in eV per atom: -7.6415

Unit cell a=3.5510 b=3.5510 c=8.6362 alpha=90.00 beta=90.00 gamma=90.00
Space group P4/nmm (No. 129, origin choice 2)
Inequivalent atoms, fractional coordinates:
Pa 0.2500 0.2500 0.1762
Ge 0.2500 0.7500 0.5000
N 0.2500 0.2500 0.7528
O 0.2500 0.7500 0.0000

(8)
The following is a PBE calculation of crystalline PmGeNO at its relaxed geometry, from OQMD via LeMat-Bulk.

Summary:
Polymorph energy (0 for the lowest one) in meV per atom: 66
Total magnetic moment in μB/atom: 0.00
Uncorrected energy in eV per atom: -6.9374

Unit cell a=3.7404 b=7.0039 c=5.1164 alpha=90.00 beta=90.00 gamma=90.00
Space group Pmc2_1 (No. 26)
Inequivalent atoms, fractional coordinates:
Pm 0.0000 0.2034 0.0000
Ge 0.5000 0.2488 0.4742
N 0.0000 0.1282 0.5145
O 0.5000 0.3408 0.8130

(9)
The following is a PBE calculation of crystalline PmGeNO at its relaxed geometry, from OQMD via LeMat-Bulk.

Summary:
Polymorph energy (0 for the lowest one) in meV per atom: 0
Total magnetic moment in μB/atom: 0.00
Uncorrected energy in eV per atom: -7.0037

Unit cell a=6.5853 b=6.7064 c=5.5681 alpha=90.00 beta=90.00 gamma=90.00
Space group Pca2_1 (No. 29)
Inequivalent atoms, fractional coordinates:
Pm 0.0690 0.1866 0.0000
Ge 0.1068 0.6752 0.0066
N 0.0883 0.1262 0.5760
O 0.0393 0.4779 0.2529

(10)
The following is a PBE calculation of crystalline PmGeNO at its relaxed geometry, from OQMD via LeMat-Bulk.

Summary:
Polymorph energy (0 for the lowest one) in meV per atom: 29
Total magnetic moment in μB/atom: 0.00
Uncorrected energy in eV per atom: -6.9744

Unit cell a=4.0779 b=6.4082 c=4.9495 alpha=90.00 beta=90.00 gamma=90.00
Space group Pmc2_1 (No. 26)
Inequivalent atoms, fractional coordinates:
Pm 0.0000 0.2079 0.0000
Ge 0.5000 0.3258 0.4612
N 0.5000 0.3756 0.8366
O 0.0000 0.1407 0.5295

(11)
The following is a PBE calculation of crystalline PmGeNO at its relaxed geometry, from OQMD via LeMat-Bulk.

Summary:
Polymorph energy (0 for the lowest one) in meV per atom: 149
Total magnetic moment in μB/atom: 0.00
Uncorrected energy in eV per atom: -6.8549

Unit cell a=4.1936 b=4.1936 c=7.1440 alpha=90.00 beta=90.00 gamma=90.00
Space group P4/nmm (No. 129, origin choice 2)
Inequivalent atoms, fractional coordinates:
Pm 0.2500 0.2500 0.1490
Ge 0.2500 0.7500 0.5000
N 0.2500 0.2500 0.5279
O 0.2500 0.7500 0.0000

(12)
The following is a PBE calculation of crystalline PmGeNO at its relaxed geometry, from OQMD via LeMat-Bulk.

Summary:
Polymorph energy (0 for the lowest one) in meV per atom: 91
Total magnetic moment in μB/atom: 0.00
Uncorrected energy in eV per atom: -6.9122

Unit cell a=4.8627 b=4.8627 c=4.9577 alpha=90.00 beta=90.00 gamma=90.00
Space group P4/nmm (No. 129, origin choice 2)
Inequivalent atoms, fractional coordinates:
Pm 0.2500 0.7500 0.0000
Ge 0.2500 0.2500 0.4896
N 0.2500 0.2500 0.1122
O 0.2500 0.7500 0.5000

(13)
The following is a PBE calculation of crystalline PrGeNO at its relaxed geometry, from OQMD via LeMat-Bulk.

Summary:
Polymorph energy (0 for the lowest one) in meV per atom: 128
Total magnetic moment in μB/atom: 0.00
Uncorrected energy in eV per atom: -6.9631

Unit cell a=7.4627 b=8.4869 c=3.5428 alpha=90.00 beta=90.00 gamma=90.00
Space group Cm (No. 8)
Inequivalent atoms, fractional coordinates:
Pr 0.0000 0.2414 0.0000
Ge 0.2330 0.5000 0.5023
Ge 0.2453 0.0000 0.4997
N 0.3408 0.0000 0.9998
N 0.4929 0.5000 0.4986
O 0.2501 0.2385 0.4997

(14)
The following is a PBE calculation of crystalline PrGeNO at its relaxed geometry, from OQMD via LeMat-Bulk.

Summary:
Polymorph energy (0 for the lowest one) in meV per atom: 223
Total magnetic moment in μB/atom: 0.00
Uncorrected energy in eV per atom: -6.8683

Unit cell a=4.9590 b=4.9590 c=4.9893 alpha=90.00 beta=90.00 gamma=90.00
Space group P4/nmm (No. 129, origin choice 2)
Inequivalent atoms, fractional coordinates:
Pr 0.2500 0.7500 0.0000
Ge 0.2500 0.2500 0.4868
N 0.2500 0.2500 0.1134
O 0.2500 0.7500 0.5000

(15)
The following is a PBE calculation of crystalline PrGeNO at its relaxed geometry, from OQMD via LeMat-Bulk.

Summary:
Polymorph energy (0 for the lowest one) in meV per atom: 262
Total magnetic moment in μB/atom: 0.00
Uncorrected energy in eV per atom: -6.8291

Unit cell a=4.2158 b=4.2158 c=7.2757 alpha=90.00 beta=90.00 gamma=90.00
Space group P4/nmm (No. 129, origin choice 2)
Inequivalent atoms, fractional coordinates:
Pr 0.2500 0.2500 0.1531
Ge 0.2500 0.7500 0.5000
N 0.2500 0.2500 0.5407
O 0.2500 0.7500 0.0000

(16)
The following is a PBE calculation of crystalline PrGeNO at its relaxed geometry, from OQMD via LeMat-Bulk.

Summary:
Polymorph energy (0 for the lowest one) in meV per atom: 197
Total magnetic moment in μB/atom: 0.00
Uncorrected energy in eV per atom: -6.8945

Unit cell a=3.7869 b=6.8929 c=5.1771 alpha=90.00 beta=90.00 gamma=90.00
Space group Pmc2_1 (No. 26)
Inequivalent atoms, fractional coordinates:
Pr 0.0000 0.2131 0.0000
Ge 0.5000 0.2442 0.4748
N 0.0000 0.1312 0.5159
O 0.5000 0.3542 0.8016

(17)
The following is a PBE calculation of crystalline PrGeNO at its relaxed geometry, from OQMD via LeMat-Bulk.

Summary:
Polymorph energy (0 for the lowest one) in meV per atom: 0
Total magnetic moment in μB/atom: 0.00
Uncorrected energy in eV per atom: -7.0912

Unit cell a=6.1940 b=7.9251 c=5.1250 alpha=90.00 beta=90.00 gamma=90.00
Space group Pca2_1 (No. 29)
Inequivalent atoms, fractional coordinates:
Pr 0.0455 0.1716 0.0000
Ge 0.1449 0.5865 0.0291
N 0.1273 0.4418 0.7164
O 0.1095 0.0831 0.4304

(18)
The following is a PBE calculation of crystalline PrGeNO at its relaxed geometry, from OQMD via LeMat-Bulk.

Summary:
Polymorph energy (0 for the lowest one) in meV per atom: 123
Total magnetic moment in μB/atom: 0.00
Uncorrected energy in eV per atom: -6.9683

Unit cell a=6.6803 b=6.7916 c=5.6164 alpha=90.00 beta=90.00 gamma=90.00
Space group Pca2_1 (No. 29)
Inequivalent atoms, fractional coordinates:
Pr 0.0676 0.1888 0.0000
Ge 0.1046 0.6738 0.0058
N 0.0871 0.1290 0.5689
O 0.0352 0.4831 0.2554

(19)
The following is a PBE calculation of crystalline PrGeNO at its relaxed geometry, from OQMD via LeMat-Bulk.

Summary:
Polymorph energy (0 for the lowest one) in meV per atom: 95
Total magnetic moment in μB/atom: 0.00
Uncorrected energy in eV per atom: -6.9967

Unit cell a=4.3676 b=5.1351 c=5.2282 alpha=90.00 beta=90.00 gamma=90.00
Space group Pmc2_1 (No. 26)
Inequivalent atoms, fractional coordinates:
Pr 0.0000 0.2430 0.0000
Ge 0.5000 0.2432 0.5165
N 0.5000 0.0964 0.1814
O 0.0000 0.2652 0.5004

(20)
The following is a PBE calculation of crystalline SmGeNO at its relaxed geometry, from OQMD via LeMat-Bulk.

Summary:
Polymorph energy (0 for the lowest one) in meV per atom: 0
Total magnetic moment in μB/atom: 0.00
Uncorrected energy in eV per atom: -7.1351

Unit cell a=6.2068 b=7.7295 c=5.0885 alpha=90.00 beta=90.00 gamma=90.00
Space group Pca2_1 (No. 29)
Inequivalent atoms, fractional coordinates:
Sm 0.0501 0.1680 0.0000
Ge 0.1478 0.5894 0.0456
N 0.1248 0.4399 0.7341
O 0.1177 0.0778 0.4132